No. 1
PBE Al2ZnGaAg, relaxed; mass density = 5.63 g/cm3; crystal system = monoclinic; formation energy = 0.045 eV/atom; symmetry = P2_1/m (11); Fermi-level density of states = 0.317 states/eV per atom
1.0
6.557 0.000 0.000
0.000 3.042 0.000
-2.221 0.000 8.778
Al Zn Ga Ag
4 2 2 2
Direct
0.065 0.250 0.155
0.431 0.750 0.359
0.569 0.250 0.641
0.935 0.750 0.845
0.251 0.250 0.780
0.749 0.750 0.220
0.158 0.250 0.472
0.842 0.750 0.528
0.337 0.750 0.050
0.663 0.250 0.950

No. 2
PBE AlZnGaAg2, relaxed; mass density = 6.78 g/cm3; crystal system = monoclinic; formation energy = 0.055 eV/atom; symmetry = P2_1/m (11); Fermi-level density of states = 0.422 states/eV per atom
1.0
5.916 0.000 0.000
0.000 4.480 0.000
-1.488 0.000 6.982
Al Zn Ga Ag
2 2 2 4
Direct
0.053 0.250 0.197
0.947 0.750 0.803
0.449 0.750 0.787
0.551 0.250 0.213
0.241 0.250 0.895
0.759 0.750 0.105
0.109 0.750 0.420
0.387 0.250 0.557
0.613 0.750 0.443
0.891 0.250 0.580

No. 3
PBE AlZnGa2Ag5, relaxed; mass density = 8.12 g/cm3; crystal system = orthorhombic; formation energy = 0.001 eV/atom; symmetry = Cmc2_1 (36); Fermi-level density of states = 0.306 states/eV per atom
1.0
1.501 -8.064 0.000
1.501 8.064 0.000
0.000 0.000 13.034
Al Zn Ga Ag
2 2 4 10
Direct
0.230 0.770 0.500
0.770 0.230 0.000
0.113 0.887 0.993
0.887 0.113 0.493
0.373 0.627 0.169
0.379 0.621 0.844
0.621 0.379 0.344
0.627 0.373 0.669
0.030 0.970 0.815
0.060 0.940 0.509
0.204 0.796 0.168
0.211 0.789 0.831
0.451 0.549 0.648
0.549 0.451 0.148
0.789 0.211 0.331
0.796 0.204 0.668
0.940 0.060 0.009
0.970 0.030 0.315

No. 4
PBE AlZnGaAg4, relaxed; mass density = 7.48 g/cm3; crystal system = orthorhombic; formation energy = 0.072 eV/atom; symmetry = Cmcm (63); Fermi-level density of states = 0.319 states/eV per atom
1.0
3.556 -4.076 0.000
3.556 4.076 0.000
0.000 0.000 9.088
Al Zn Ga Ag
2 2 2 8
Direct
0.026 0.974 0.750
0.974 0.026 0.250
0.500 0.500 0.000
0.500 0.500 0.500
0.363 0.637 0.250
0.637 0.363 0.750
0.138 0.475 0.750
0.172 0.828 0.010
0.172 0.828 0.490
0.475 0.138 0.250
0.525 0.862 0.750
0.828 0.172 0.510
0.828 0.172 0.990
0.862 0.525 0.250